The following is a DFT calculation (GGA+U) of a geometry-optimized AcMn2OsO8 structure.

```
AcMn2OsO8
1.0
-3.732 2.505 2.092
-3.062 0.102 -3.893
-4.090 -5.409 1.685
Ac Mn Os O
1 2 1 8
Direct
0.000 0.000 0.500 Ac
0.459 0.458 0.725 Mn
0.541 0.542 0.275 Mn
0.000 0.000 0.000 Os
0.196 0.789 0.202 O
0.739 0.759 0.057 O
0.805 0.211 0.198 O
0.804 0.211 0.798 O
0.261 0.241 0.943 O
0.195 0.789 0.802 O
0.657 0.673 0.511 O
0.343 0.327 0.489 O
```

Total DFT energy (no corrections) (eV/atom): -7.4654
Magnetization (μB per formula unit): 8.203
N(E_F) (states/eV per cell): 3.6